# YErO3 (GGA-PBE, relaxed)
# Density of states at the Fermi level ... 0.00 states/eV/cell
# VASP energy ... -8.5734 eV per atom
# Space-group type ... R32, No. 155
# ΔE_f (raw) ... -3.3931 eV/atom
data_YErO3
_chemical_formula_sum 'Y2 Er2 O6'
_cell_length_a 6.338
_cell_length_b 6.338
_cell_length_c 6.338
_cell_angle_alpha 52.41
_cell_angle_beta 52.41
_cell_angle_gamma 52.41
_symmetry_space_group_name_H-M 'P 1'
_symmetry_Int_Tables_number 1
_symmetry_space_group_name_Hall 'P 1'
loop_
_atom_site_label
_atom_site_type_symbol
_atom_site_fract_x
_atom_site_fract_y
_atom_site_fract_z
Y1 Y 0.146 0.146 0.146
Y2 Y 0.854 0.854 0.854
Er1 Er 0.352 0.352 0.352
Er2 Er 0.648 0.648 0.648
O1 O 0.046 0.458 0.744
O2 O 0.256 0.542 0.954
O3 O 0.458 0.744 0.046
O4 O 0.542 0.954 0.256
O5 O 0.744 0.046 0.458
O6 O 0.954 0.256 0.542